# 1
Computed, not measured: a relaxed NaScZnBr6 crystal at the PBE level of DFT.

a b c (Å): 6.827 6.827 13.294
angles (deg): 90.00 90.00 120.00
Fractional coordinates of all 18 atoms:
Na1 0.000 0.000 0.000
Na2 0.000 0.000 0.500
Sc1 0.333 0.667 0.250
Sc2 0.667 0.333 0.750
Zn1 0.333 0.667 0.750
Zn2 0.667 0.333 0.250
Br1 0.002 0.363 0.636
Br2 0.002 0.639 0.864
Br3 0.361 0.363 0.864
Br4 0.361 0.998 0.636
Br5 0.363 0.002 0.136
Br6 0.363 0.361 0.364
Br7 0.637 0.639 0.636
Br8 0.637 0.998 0.864
Br9 0.639 0.002 0.364
Br10 0.639 0.637 0.136
Br11 0.998 0.361 0.136
Br12 0.998 0.637 0.364

Computed properties:
Symmetry: No. 163
Fermi-level density of states (states/eV/cell): 0.00
Total magnetic moment (μB per atom): 0.000
Raw total energy (eV per atom): -3.46

# 2
Computed, not measured: a relaxed NaSe3Br crystal at the PBE level of DFT.

a b c (Å): 5.204 5.204 5.204
angles (deg): 90.00 90.00 90.00
Fractional coordinates of all 5 atoms:
Na1 0.000 0.000 0.000
Se1 0.000 0.000 0.500
Se2 0.000 0.500 0.000
Se3 0.500 0.000 0.000
Br1 0.500 0.500 0.500

Computed properties:
Symmetry: No. 221
Relative energy among the computed polymorphs (meV/atom): 425
Fermi-level density of states (states/eV/cell): 9.45
Total magnetic moment (μB per atom): 0.000
Raw total energy (eV per atom): -1.92

# 3
Computed, not measured: a relaxed NaSe3Br crystal at the PBE level of DFT.

a b c (Å): 5.288 5.288 5.288
angles (deg): 90.00 90.00 90.00
Fractional coordinates of all 5 atoms:
Na1 0.000 0.000 0.000
Se1 0.000 0.500 0.500
Se2 0.500 0.000 0.500
Se3 0.500 0.500 0.000
Br1 0.500 0.500 0.500

Computed properties:
Symmetry: No. 221
Relative energy among the computed polymorphs (meV/atom): 0
Fermi-level density of states (states/eV/cell): 4.58
Total magnetic moment (μB per atom): 0.000
Raw total energy (eV per atom): -2.35

# 4
Computed, not measured: a relaxed NaSe2Br6 crystal at the PBE level of DFT.

a b c (Å): 9.989 9.989 8.818
angles (deg): 108.45 108.45 62.55
Fractional coordinates of all 18 atoms:
Na1 0.075 0.925 0.750
Na2 0.925 0.075 0.250
Se1 0.115 0.404 0.723
Se2 0.404 0.115 0.223
Se3 0.596 0.885 0.777
Se4 0.885 0.596 0.277
Br1 0.028 0.791 0.386
Br2 0.206 0.611 0.875
Br3 0.209 0.972 0.114
Br4 0.216 0.322 0.482
Br5 0.322 0.216 0.982
Br6 0.389 0.794 0.625
Br7 0.611 0.206 0.375
Br8 0.678 0.784 0.018
Br9 0.784 0.678 0.518
Br10 0.791 0.028 0.886
Br11 0.794 0.389 0.125
Br12 0.972 0.209 0.614

Computed properties:
Symmetry: No. 15
Fermi-level density of states (states/eV/cell): 8.68
Total magnetic moment (μB per atom): 0.000
Raw total energy (eV per atom): -2.39

# 5
Computed, not measured: a relaxed NaSeBr3 crystal at the PBE level of DFT.

a b c (Å): 5.466 5.466 5.466
angles (deg): 90.00 90.00 90.00
Fractional coordinates of all 5 atoms:
Na1 0.000 0.000 0.000
Se1 0.500 0.500 0.500
Br1 0.000 0.500 0.500
Br2 0.500 0.000 0.500
Br3 0.500 0.500 0.000

Computed properties:
Symmetry: No. 221
Relative energy among the computed polymorphs (meV/atom): 109
Fermi-level density of states (states/eV/cell): 1.00
Total magnetic moment (μB per atom): 0.000
Raw total energy (eV per atom): -2.47

# 6
Computed, not measured: a relaxed Na3SeBr crystal at the PBE level of DFT.

a b c (Å): 8.111 8.111 8.105
angles (deg): 91.13 91.13 87.81
Fractional coordinates of all 20 atoms:
Na1 0.046 0.408 0.674
Na2 0.067 0.830 0.934
Na3 0.170 0.933 0.566
Na4 0.310 0.412 0.088
Na5 0.408 0.046 0.174
Na6 0.412 0.310 0.588
Na7 0.588 0.690 0.412
Na8 0.592 0.954 0.826
Na9 0.690 0.588 0.912
Na10 0.830 0.067 0.434
Na11 0.933 0.170 0.066
Na12 0.954 0.592 0.326
Se1 0.136 0.250 0.359
Se2 0.250 0.136 0.859
Se3 0.750 0.864 0.141
Se4 0.864 0.750 0.641
Br1 0.262 0.738 0.250
Br2 0.363 0.637 0.750
Br3 0.637 0.363 0.250
Br4 0.738 0.262 0.750

Computed properties:
Symmetry: No. 15
Relative energy among the computed polymorphs (meV/atom): 0
Total magnetic moment (μB per atom): 0.000
Raw total energy (eV per atom): -3.01

# 7
Computed, not measured: a relaxed NaSe2Br crystal at the PBE level of DFT.

a b c (Å): 5.178 5.178 5.178
angles (deg): 60.00 60.00 60.00
Fractional coordinates of all 4 atoms:
Na1 0.000 0.000 0.000
Se1 0.250 0.250 0.250
Se2 0.750 0.750 0.750
Br1 0.500 0.500 0.500

Computed properties:
Symmetry: No. 225
Relative energy among the computed polymorphs (meV/atom): 284
Fermi-level density of states (states/eV/cell): 6.21
Total magnetic moment (μB per atom): 0.302
Raw total energy (eV per atom): -2.24

# 8
Computed, not measured: a relaxed NaSeBr3 crystal at the PBE level of DFT.

a b c (Å): 10.112 7.356 9.567
angles (deg): 90.00 103.10 90.00
Fractional coordinates of all 20 atoms:
Na1 0.159 0.088 0.175
Na2 0.159 0.412 0.675
Na3 0.841 0.588 0.325
Na4 0.841 0.912 0.825
Se1 0.201 0.574 0.168
Se2 0.201 0.926 0.668
Se3 0.799 0.074 0.332
Se4 0.799 0.426 0.832
Br1 0.041 0.204 0.875
Br2 0.041 0.296 0.375
Br3 0.252 0.716 0.957
Br4 0.252 0.784 0.457
Br5 0.389 0.143 0.728
Br6 0.389 0.357 0.228
Br7 0.611 0.643 0.772
Br8 0.611 0.857 0.272
Br9 0.748 0.216 0.543
Br10 0.748 0.284 0.043
Br11 0.959 0.704 0.625
Br12 0.959 0.796 0.125

Computed properties:
Symmetry: No. 14
Relative energy among the computed polymorphs (meV/atom): 1
Total magnetic moment (μB per atom): 0.000
Raw total energy (eV per atom): -2.58

# 9
Computed, not measured: a relaxed NaSeBr3 crystal at the PBE level of DFT.

a b c (Å): 9.359 8.815 9.715
angles (deg): 90.00 91.58 90.00
Fractional coordinates of all 20 atoms:
Na1 0.017 0.113 0.321
Na2 0.017 0.387 0.821
Na3 0.983 0.613 0.179
Na4 0.983 0.887 0.679
Se1 0.433 0.010 0.107
Se2 0.433 0.490 0.607
Se3 0.567 0.510 0.393
Se4 0.567 0.990 0.893
Br1 0.103 0.183 0.604
Br2 0.103 0.317 0.104
Br3 0.232 0.624 0.734
Br4 0.232 0.876 0.234
Br5 0.366 0.080 0.759
Br6 0.366 0.420 0.259
Br7 0.634 0.580 0.741
Br8 0.634 0.920 0.241
Br9 0.768 0.124 0.766
Br10 0.768 0.376 0.266
Br11 0.897 0.683 0.896
Br12 0.897 0.817 0.396

Computed properties:
Symmetry: No. 14
Relative energy among the computed polymorphs (meV/atom): 0
Total magnetic moment (μB per atom): 0.000
Raw total energy (eV per atom): -2.58

# 10
Computed, not measured: a relaxed Na2SeBr5 crystal at the PBE level of DFT.

a b c (Å): 7.818 7.818 7.602
angles (deg): 118.73 118.73 59.16
Fractional coordinates of all 8 atoms:
Na1 0.000 0.000 0.000
Na2 0.530 0.530 0.449
Se1 0.916 0.916 0.402
Br1 0.111 0.642 0.125
Br2 0.223 0.745 0.687
Br3 0.642 0.111 0.125
Br4 0.666 0.666 0.267
Br5 0.745 0.223 0.687

Computed properties:
Symmetry: No. 8
Fermi-level density of states (states/eV/cell): 0.39
Total magnetic moment (μB per atom): 0.126
Raw total energy (eV per atom): -2.53

# 11
Computed, not measured: a relaxed NaSe2Br2 crystal at the PBE level of DFT.

a b c (Å): 8.302 8.302 5.421
angles (deg): 90.00 90.00 90.00
Fractional coordinates of all 10 atoms:
Na1 0.000 0.000 0.000
Na2 0.500 0.500 0.000
Se1 0.092 0.408 0.500
Se2 0.408 0.908 0.500
Se3 0.592 0.092 0.500
Se4 0.908 0.592 0.500
Br1 0.231 0.269 0.000
Br2 0.269 0.769 0.000
Br3 0.731 0.231 0.000
Br4 0.769 0.731 0.000

Computed properties:
Symmetry: No. 127
Relative energy among the computed polymorphs (meV/atom): 0
Fermi-level density of states (states/eV/cell): 0.00
Total magnetic moment (μB per atom): 0.200
Raw total energy (eV per atom): -2.72

# 12
Computed, not measured: a relaxed NaSe2Br crystal at the PBE level of DFT.

a b c (Å): 8.712 8.712 8.712
angles (deg): 139.30 139.30 58.92
Fractional coordinates of all 8 atoms:
Na1 0.000 0.000 0.000
Na2 0.750 0.250 0.500
Se1 0.192 0.625 0.067
Se2 0.375 0.442 0.567
Se3 0.558 0.125 0.933
Se4 0.875 0.808 0.433
Br1 0.250 0.750 0.500
Br2 0.500 0.500 0.000

Computed properties:
Symmetry: No. 122
Relative energy among the computed polymorphs (meV/atom): 111
Fermi-level density of states (states/eV/cell): 0.30
Total magnetic moment (μB per atom): 0.000
Raw total energy (eV per atom): -2.41